VASP calculation (PBE-GGA) on an optimized crystal structure of LuTiZnIr.

a b c (Å): 4.6328 4.6328 4.6328
angles (deg): 60.00 60.00 60.00
Positions (direct):
Lu  0.0000  0.0000  0.0000
Ti  0.5000  0.5000  0.5000
Zn  0.7500  0.7500  0.7500
Ir  0.2500  0.2500  0.2500



VASP calculation (PBE-GGA) on an optimized crystal structure of K2CrRe.

a b c (Å): 6.6641 6.6641 2.8489
angles (deg): 100.85 100.85 129.39
Positions (direct):
K  0.0000  0.5000  0.0000
K  0.5000  0.0000  0.0000
Cr  0.0000  0.0000  0.5000
Re  0.5000  0.5000  0.5000

## Properties
Relative energy among the computed polymorphs in eV/atom: 0.633



For the records above, the corresponding formation energy from the elements values read -508; 1495 meV per atom.
For the records above, the corresponding energy values read -6.15; -4.57 eV per atom.